This record from the Alexandria database describes a relaxed structure of Ag2RuO5. The functional is PBE-GGA.

Results
Symmetry   No. 1
Raw formation energy   -0.336 eV per atom
Volume   15.5 A^3/atom
Total magnetic moment   0.0 μB/f.u.

Cell: 4.1931 6.3392 5.6903 Å, 103.87 111.04 107.71°
Atoms (fractional coordinates):
O  0.7282  0.7916  0.7081
O  0.1463  0.2843  0.8910
O  0.2333  0.1997  0.3636
O  0.0180  0.7288  0.1625
O  0.5124  0.9999  0.0324
Ag  0.6675  0.4237  0.7735
Ag  0.5861  0.7514  0.2763
Ru  0.1080  0.0436  0.0157

=====

This record from the Alexandria database describes a relaxed structure of Ti3TeH. The functional is PBE-GGA.

Results
Excess energy over the best structure of this formula in the dataset   174.9 kJ per mole of atoms
Symmetry   No. 221
Volume   25.7 A^3/atom
Total magnetic moment   1.1 μB/f.u.

Cell: 5.0487 5.0487 5.0487 Å, 90.00 90.00 90.00°
Each line ends with the local moment (μB).
Atoms (fractional coordinates):
Te  0.0000  0.0000  0.0000  -0.01
H  0.5000  0.5000  0.5000  -0.02
Ti  0.5000  0.0000  0.0000  0.48
Ti  0.0000  0.5000  0.0000  0.22
Ti  0.0000  0.0000  0.5000  0.14